Entry from Alexandria: a geometry-optimized FeS6F2 structure (GGA+U).

Calculated values
Magnetic moment = 4.00 μB/f.u.
E = -0.324 Ry per atom

abc: 3.7686 7.2385 7.2794
angles: 105.06 95.25 83.39
Closest atoms and distances in Å follow each position.
Element x y z (fractional)
F: 0.4296 0.8672 0.0873  1 Fe 1.93
S: 0.8375 0.5280 0.2458  2 S 2.06-2.09
S: 0.9517 0.2534 0.5473  2 S 2.06-2.09
Fe: 0.0000 0.0000 0.0000  2 F 1.93
S: 0.1463 0.2865 0.2991  2 S 2.09
S: 0.0483 0.7466 0.4527  2 S 2.06-2.09
S: 0.8537 0.7135 0.7009  2 S 2.09
S: 0.1625 0.4720 0.7542  2 S 2.06-2.09
F: 0.5704 0.1328 0.9127  1 Fe 1.93